--- w ---
A relaxed GeTe3 crystal. Source: the Alexandria database, functional GGA-PBE.

The structure in POSCAR format:
```
GeTe3
1.0
4.3242 0.0000 0.0000
0.0000 6.3076 0.0000
0.0000 0.0000 4.5412
Ge Te
1 3
direct
0.0000 0.0000 0.0000 Ge
0.0000 0.5000 0.0406 Te
0.5000 0.0000 0.5854 Te
0.5000 0.5000 0.5496 Te
```

Properties
Space-group type   No. 25

---

--- x ---
A relaxed GeTe3 crystal. Source: the Alexandria database, functional GGA-PBE.

The structure in POSCAR format:
```
GeTe3
1.0
-2.0948 2.0948 7.8986
2.0948 -2.0948 7.8986
2.0948 2.0948 -7.8986
Ge Te
1 3
direct
0.0000 0.0000 0.0000 Ge
0.2500 0.7500 0.5000 Te
0.5000 0.5000 0.0000 Te
0.7500 0.2500 0.5000 Te
```

Properties
Space-group type   No. 139

---

If we sort the structures by their calculated energies, the order from most to least stable is w, x.

---

--- w ---
A relaxed Ge3Te crystal. Source: the Alexandria database, functional GGA-PBE.

The structure in POSCAR format:
```
Ge3Te
1.0
-2.0640 2.0640 5.3286
2.0640 -2.0640 5.3286
2.0640 2.0640 -5.3286
Ge Te
3 1
direct
0.0000 0.0000 0.0000 Ge
0.2500 0.7500 0.5000 Ge
0.7500 0.2500 0.5000 Ge
0.5000 0.5000 0.0000 Te
```

Properties
Space-group type   No. 139

---

--- x ---
A relaxed Ge3Te crystal. Source: the Alexandria database, functional GGA-PBE.

The structure in POSCAR format:
```
Ge3Te
1.0
4.1517 0.0000 0.0000
0.0000 5.1746 0.0000
0.0000 0.0000 4.6181
Ge Te
3 1
direct
0.0000 0.0000 0.0000 Ge
0.0000 0.5000 0.2025 Ge
0.5000 0.5000 0.8599 Ge
0.5000 0.0000 0.5774 Te
```

Properties
Space-group type   No. 25

---

If we sort the structures by their calculated energies, the order from most to least stable is x, w.

---

--- w ---
A relaxed Ge3Te4 crystal. Source: the Alexandria database, functional GGA-PBE.

The structure in POSCAR format:
```
Ge3Te4
1.0
2.0685 1.1943 13.1880
-2.0685 1.1943 13.1880
0.0000 -2.3885 13.1880
Ge Te
3 4
direct
0.0000 0.0000 0.0000 Ge
0.2421 0.2421 0.2421 Ge
0.7579 0.7579 0.7579 Ge
0.1297 0.1297 0.1297 Te
0.3759 0.3759 0.3759 Te
0.6241 0.6241 0.6241 Te
0.8703 0.8703 0.8703 Te
```

Properties
Space-group type   No. 166

---

--- x ---
A relaxed Ge3Te4 crystal. Source: the Alexandria database, functional GGA-PBE.

The structure in POSCAR format:
```
Ge3Te4
1.0
7.8417 -2.0114 0.0000
7.8417 2.0114 0.0000
-3.2158 0.0000 6.3544
Ge Te
3 4
direct
0.0000 0.0000 0.0000 Ge
0.2496 0.2496 0.2230 Ge
0.7504 0.7504 0.7770 Ge
0.1238 0.1238 0.7856 Te
0.3744 0.3744 0.7036 Te
0.6256 0.6256 0.2964 Te
0.8762 0.8762 0.2144 Te
```

Properties
Space-group type   No. 12

---

If we sort the structures by their calculated energies, the order from most to least stable is w, x.

---

--- w ---
A relaxed Th3GeTe2 crystal. Source: the Alexandria database, functional GGA-PBE.

The structure in POSCAR format:
```
Th3GeTe2
1.0
0.0000 6.2524 13.1971
4.4519 0.0000 13.1971
4.4519 6.2524 0.0000
Th Ge Te
12 4 8
direct
0.0405 0.5344 0.1856 Th
0.0971 0.6529 0.6529 Th
0.1856 0.7395 0.0405 Th
0.2605 0.8144 0.4656 Th
0.3471 0.9029 0.9029 Th
0.4656 0.9595 0.2605 Th
0.5344 0.0405 0.7395 Th
0.6529 0.0971 0.0971 Th
0.7395 0.1856 0.5344 Th
0.8144 0.2605 0.9595 Th
0.9029 0.3471 0.3471 Th
0.9595 0.4656 0.8144 Th
0.0415 0.0415 0.2085 Ge
0.2085 0.2085 0.0415 Ge
0.7915 0.7915 0.9585 Ge
0.9585 0.9585 0.7915 Ge
0.1289 0.1289 0.6211 Te
0.2946 0.2946 0.4554 Te
0.3789 0.3789 0.8711 Te
0.4554 0.4554 0.2946 Te
0.5446 0.5446 0.7054 Te
0.6211 0.6211 0.1289 Te
0.7054 0.7054 0.5446 Te
0.8711 0.8711 0.3789 Te
```

Properties
Space-group type   No. 70

---

--- x ---
A relaxed Th3GeTe2 crystal. Source: the Alexandria database, functional GGA-PBE.

The structure in POSCAR format:
```
Th3GeTe2
1.0
3.9101 -6.5786 0.0000
3.9101 6.5786 0.0000
-2.4661 0.0000 7.1118
Th Ge Te
6 2 4
direct
0.0000 0.5000 0.0000 Th
0.1355 0.2861 0.4850 Th
0.2861 0.1355 0.9850 Th
0.5000 0.0000 0.5000 Th
0.7139 0.8645 0.0150 Th
0.8645 0.7139 0.5150 Th
0.0952 0.9048 0.2500 Ge
0.9048 0.0952 0.7500 Ge
0.2659 0.7341 0.7500 Te
0.4226 0.5774 0.2500 Te
0.5774 0.4226 0.7500 Te
0.7341 0.2659 0.2500 Te
```

Properties
Space-group type   No. 15

---

If we sort the structures by their calculated energies, the order from most to least stable is w, x.